(1)
La3CdRe after structural relaxation. Source: the Alexandria database, functional PBE.

Lattice parameters (Å, degrees): 5.563 5.563 5.563 90.00 90.00 90.00
Atoms (fractional coordinates):
Re  0.000  0.000  0.000
Cd  0.500  0.500  0.500
La  0.000  0.500  0.000
La  0.000  0.000  0.500
La  0.500  0.000  0.000

Summary:
Uncorrected energy, eV/atom: -5.531
Energy above the most stable polymorph in this dataset, meV per atom: 0.0
Space group: Pm-3m (221)
ΔH_f (0 K), eV per atom: 0.10
V, Å³/f.u.: 172

---

(2)
LaCdRe after structural relaxation. Source: the Alexandria database, functional PBE.

Lattice parameters (Å, degrees): 5.166 5.166 2.885 90.00 90.00 120.00
Atoms (fractional coordinates):
Re  0.333  0.667  0.832
Cd  0.000  0.000  0.834
La  0.667  0.333  0.333

Summary:
Uncorrected energy, eV/atom: -5.566
Energy above the most stable polymorph in this dataset, meV per atom: 6.7
Space group: P3m1 (156)
ΔH_f (0 K), eV per atom: 0.53
V, Å³/f.u.: 67

---

(3)
LaCdRe after structural relaxation. Source: the Alexandria database, functional PBE.

Lattice parameters (Å, degrees): 6.205 6.205 6.205 152.28 141.46 48.13
Atoms (fractional coordinates):
Re  0.653  0.653  0.000
La  0.319  0.319  0.000
Cd  0.029  0.029  0.000

Summary:
Uncorrected energy, eV/atom: -5.573
Energy above the most stable polymorph in this dataset, meV per atom: 0.0
Space group: Imm2 (44)
ΔH_f (0 K), eV per atom: 0.52
V, Å³/f.u.: 69

---

(4)
LaCd2Re after structural relaxation. Source: the Alexandria database, functional PBE.

Lattice parameters (Å, degrees): 3.512 3.512 7.639 90.00 90.00 90.00
Atoms (fractional coordinates):
Re  0.500  0.500  0.785
Cd  0.000  0.000  0.969
Cd  0.500  0.500  0.199
La  0.000  0.000  0.546

Summary:
Uncorrected energy, eV/atom: -4.414
Energy above the most stable polymorph in this dataset, meV per atom: 93.4
Space group: P4mm (99)
ΔH_f (0 K), eV per atom: 0.39
V, Å³/f.u.: 94

---

What did the first record say?
La3CdRe after structural relaxation. Source: the Alexandria database, functional PBE.

Lattice parameters (Å, degrees): 5.563 5.563 5.563 90.00 90.00 90.00
Atoms (fractional coordinates):
Re  0.000  0.000  0.000
Cd  0.500  0.500  0.500
La  0.000  0.500  0.000
La  0.000  0.000  0.500
La  0.500  0.000  0.000

Summary:
Uncorrected energy, eV/atom: -5.531
Energy above the most stable polymorph in this dataset, meV per atom: 0.0
Space group: Pm-3m (221)
ΔH_f (0 K), eV per atom: 0.10
V, Å³/f.u.: 172

---

> What is the uncorrected energy in the third record?

-5.573 eV/atom

---

Please write out number 4 again, unchanged.
LaCd2Re after structural relaxation. Source: the Alexandria database, functional PBE.

Lattice parameters (Å, degrees): 3.512 3.512 7.639 90.00 90.00 90.00
Atoms (fractional coordinates):
Re  0.500  0.500  0.785
Cd  0.000  0.000  0.969
Cd  0.500  0.500  0.199
La  0.000  0.000  0.546

Summary:
Uncorrected energy, eV/atom: -4.414
Energy above the most stable polymorph in this dataset, meV per atom: 93.4
Space group: P4mm (99)
ΔH_f (0 K), eV per atom: 0.39
V, Å³/f.u.: 94

---

Please write out number 3 again, unchanged.
LaCdRe after structural relaxation. Source: the Alexandria database, functional PBE.

Lattice parameters (Å, degrees): 6.205 6.205 6.205 152.28 141.46 48.13
Atoms (fractional coordinates):
Re  0.653  0.653  0.000
La  0.319  0.319  0.000
Cd  0.029  0.029  0.000

Summary:
Uncorrected energy, eV/atom: -5.573
Energy above the most stable polymorph in this dataset, meV per atom: 0.0
Space group: Imm2 (44)
ΔH_f (0 K), eV per atom: 0.52
V, Å³/f.u.: 69